Record 1
GdBeGa | PBE | optimized geometry

Its energy above the lowest structure with this stoichiometry is 989 meV per atom. As for the energy of formation: 1.8 eV/f.u.

The structure belongs to space group I4mm (No. 107); the cell edges are 3.012, 3.012 and 14.759 Å and the angles 90.00°, 90.00° and 90.00°. Symmetry generates all atoms from Gd at (0.000, 0.000, 0.000), Be at (0.000, 0.000, 0.193) and Ga at (0.000, 0.000, 0.347).

Record 2
AgH6N2Cl | PBE | optimized geometry

Its calculated total energy is -4.569 eV per atom.

The structure belongs to space group C2/c (No. 15); the cell edges are 8.524, 10.707 and 8.758 Å and the angles 90.00°, 115.39° and 90.00°. Symmetry generates all atoms from Ag at (0.000, 0.095, 0.250), H at (0.161, 0.398, 0.535), H at (0.170, 0.477, 0.703), H at (0.198, 0.323, 0.712), N at (0.225, 0.404, 0.665) and Cl at (0.000, 0.377, 0.250).

Record 3
Tb2Tm5In | PBE | optimized geometry

Its energy above the lowest structure with this stoichiometry is 0 meV per atom. As for the energy of formation: -0.3 eV/f.u.

The structure belongs to space group Cmcm (No. 63); the cell edges are 5.374, 11.790 and 15.258 Å and the angles 90.00°, 90.00° and 90.00°. Symmetry generates all atoms from Tb at (0.000, 0.218, 0.133), Tm at (0.000, 0.084, 0.589), Tm at (0.000, 0.390, 0.553), Tm at (0.000, 0.472, 0.250) and In at (0.000, 0.250, 0.750).

Record 4
Rb8BrCl3O2 | PBE | optimized geometry

Its calculated total energy is -3.123 eV per atom.

The structure belongs to space group P-3m1 (No. 164); the cell edges are 7.9165, 7.9165 and 11.3316 Å and the angles 90.00°, 90.00° and 120.00°. Symmetry generates all atoms from Rb at (0.1653, 0.3307, 0.2751), Rb at (0.3333, 0.6667, 0.9589), Br at (0.0000, 0.0000, 0.5000), Cl at (0.0000, 0.0000, 0.0000), Cl at (0.3333, 0.6667, 0.6811) and O at (0.3333, 0.6667, 0.1829).